Version w
DFT (PBE) results for a geometry-optimized BaReF structure.

Unit cell a=4.2133 b=4.2133 c=28.3114 alpha=90.00 beta=90.00 gamma=120.00
Fractional coordinates of all 18 atoms:
Re 0.0000 0.0000 0.1622
Re 0.0000 0.0000 0.8378
Re 0.3333 0.6667 0.8288
Re 0.3333 0.6667 0.5045
Re 0.6667 0.3333 0.4955
Re 0.6667 0.3333 0.1712
Ba 0.0000 0.0000 0.4016
Ba 0.0000 0.0000 0.5984
Ba 0.3333 0.6667 0.0683
Ba 0.3333 0.6667 0.2651
Ba 0.6667 0.3333 0.7349
Ba 0.6667 0.3333 0.9317
F 0.0000 0.0000 0.6978
F 0.0000 0.0000 0.3022
F 0.3333 0.6667 0.3644
F 0.3333 0.6667 0.9689
F 0.6667 0.3333 0.0311
F 0.6667 0.3333 0.6356

---

Version x
DFT (PBE) results for a geometry-optimized BaReF structure.

Unit cell a=4.1649 b=4.1775 c=9.4920 alpha=89.79 beta=89.75 gamma=61.77
Fractional coordinates of all 6 atoms:
Re 0.4253 0.5713 0.8124
Re 0.0891 0.2345 0.8443
Ba 0.4170 0.5562 0.1580
Ba 0.7620 0.9085 0.5436
F 0.1011 0.2486 0.4138
F 0.7557 0.8976 0.2388

---

Taking the most stable structure as the zero point, the relative energies in meV/atom are version w 0; version x 77.

---

Version w
DFT (PBE) results for a geometry-optimized BaReF structure.

Unit cell a=3.6326 b=3.6326 c=19.6688 alpha=90.00 beta=90.00 gamma=90.00
Fractional coordinates of all 12 atoms:
Re 0.0000 0.5000 0.0000
Re 0.5000 0.0000 0.0000
Re 0.5000 0.0000 0.5000
Re 0.0000 0.5000 0.5000
Ba 0.0000 0.0000 0.8476
Ba 0.0000 0.0000 0.1524
Ba 0.5000 0.5000 0.3476
Ba 0.5000 0.5000 0.6524
F 0.0000 0.0000 0.3008
F 0.0000 0.0000 0.6992
F 0.5000 0.5000 0.8008
F 0.5000 0.5000 0.1992

---

Version x
DFT (PBE) results for a geometry-optimized BaReF structure.

Unit cell a=5.5521 b=3.8384 c=14.0513 alpha=90.00 beta=112.28 gamma=90.00
Fractional coordinates of all 12 atoms:
Re 0.1957 0.0000 0.9664
Re 0.1957 0.5000 0.4664
Re 0.0650 0.0000 0.3592
Re 0.0650 0.5000 0.8592
Ba 0.4914 0.0000 0.7759
Ba 0.4914 0.5000 0.2759
Ba 0.7642 0.0000 0.5484
Ba 0.7642 0.5000 0.0484
F 0.7350 0.0000 0.1965
F 0.7350 0.5000 0.6965
F 0.1654 0.0000 0.1185
F 0.1654 0.5000 0.6185

---

Taking the most stable structure as the zero point, the relative energies in meV/atom are version w 0; version x 388.

---

Version w
DFT (PBE) results for a geometry-optimized BaReF structure.

Unit cell a=9.8160 b=4.1794 c=7.3096 alpha=90.00 beta=104.32 gamma=90.00
Fractional coordinates of all 12 atoms:
Re 0.1762 0.0000 0.6512
Re 0.1762 0.5000 0.1512
Re 0.1517 0.0000 0.3107
Re 0.1517 0.5000 0.8107
Ba 0.8711 0.0000 0.8848
Ba 0.8711 0.5000 0.3848
Ba 0.4606 0.0000 0.0780
Ba 0.4606 0.5000 0.5780
F 0.5696 0.0000 0.4461
F 0.5696 0.5000 0.9461
F 0.7600 0.0000 0.1794
F 0.7600 0.5000 0.6794

---

Version x
DFT (PBE) results for a geometry-optimized BaReF structure.

Unit cell a=3.5716 b=3.5716 c=10.0389 alpha=90.00 beta=90.00 gamma=90.00
Fractional coordinates of all 6 atoms:
Re 0.0000 0.5000 0.0206
Re 0.5000 0.0000 0.9794
Ba 0.0000 0.5000 0.6961
Ba 0.5000 0.0000 0.3039
F 0.0000 0.5000 0.4082
F 0.5000 0.0000 0.5918

---

Taking the most stable structure as the zero point, the relative energies in meV/atom are version w 0; version x 49.

---

Version w
DFT (PBE) results for a geometry-optimized BaRe2F2 structure.

Unit cell a=3.4768 b=3.4768 c=10.1272 alpha=80.12 beta=80.12 gamma=90.00
Fractional coordinates of all 5 atoms:
Re 0.7500 0.2500 0.5000
Re 0.2500 0.7500 0.5000
Ba 0.0000 0.0000 0.0000
F 0.4364 0.4364 0.1272
F 0.5636 0.5636 0.8728

---

Version x
DFT (PBE) results for a geometry-optimized BaRe2F2 structure.

Unit cell a=8.1931 b=8.1931 c=2.8270 alpha=90.00 beta=90.00 gamma=90.00
Fractional coordinates of all 10 atoms:
Re 0.1023 0.6023 0.5000
Re 0.6023 0.8977 0.5000
Re 0.8977 0.3977 0.5000
Re 0.3977 0.1023 0.5000
Ba 0.0000 0.0000 0.0000
Ba 0.5000 0.5000 0.0000
F 0.2451 0.7451 0.0000
F 0.7451 0.7549 0.0000
F 0.7549 0.2549 0.0000
F 0.2549 0.2451 0.0000

---

Taking the most stable structure as the zero point, the relative energies in meV/atom are version w 0; version x 821.

---

Version w
DFT (PBE) results for a geometry-optimized Ba2ReF structure.

Unit cell a=7.5444 b=7.5444 c=6.9257 alpha=57.00 beta=57.00 gamma=90.00
Last column: magnetic moment on the atom in μB.
Fractional coordinates of all 8 atoms:
Re 0.0000 0.0000 0.0000  2.03
Re 0.7500 0.2500 0.5000  2.03
Ba 0.5744 0.1250 0.2500  -0.02
Ba 0.1756 0.6250 0.2500  -0.02
Ba 0.3750 0.4256 0.7500  -0.02
Ba 0.8750 0.8244 0.7500  -0.03
F 0.5000 0.5000 0.0000  0.00
F 0.2500 0.7500 0.5000  0.00

---

Version x
DFT (PBE) results for a geometry-optimized Ba2ReF structure.

Unit cell a=5.4032 b=5.4032 c=5.4032 alpha=60.00 beta=60.00 gamma=60.00
Last column: magnetic moment on the atom in μB.
Fractional coordinates of all 4 atoms:
Re 0.5000 0.5000 0.5000  1.76
Ba 0.2500 0.2500 0.2500  -0.02
Ba 0.7500 0.7500 0.7500  -0.02
F 0.0000 0.0000 0.0000  0.02

---

Taking the most stable structure as the zero point, the relative energies in meV/atom are version w 0; version x 274.

---

Version w
DFT (PBE) results for a geometry-optimized BaRhF structure.

Unit cell a=4.2492 b=4.2492 c=7.8299 alpha=90.00 beta=90.00 gamma=120.00
Fractional coordinates of all 6 atoms:
Rh 0.3333 0.6667 0.7500
Rh 0.6667 0.3333 0.2500
Ba 0.0000 0.0000 0.0000
Ba 0.0000 0.0000 0.5000
F 0.3333 0.6667 0.2500
F 0.6667 0.3333 0.7500

---

Version x
DFT (PBE) results for a geometry-optimized BaRhF structure.

Unit cell a=4.5331 b=4.5331 c=4.5331 alpha=60.00 beta=60.00 gamma=60.00
Last column: magnetic moment on the atom in μB.
Fractional coordinates of all 3 atoms:
Rh 0.2500 0.2500 0.2500  0.22
Ba 0.7500 0.7500 0.7500  -0.01
F 0.0000 0.0000 0.0000  0.00

---

Taking the most stable structure as the zero point, the relative energies in meV/atom are version w 0; version x 21.

---

Version w
DFT (PBE) results for a geometry-optimized BaRhF structure.

Unit cell a=3.7272 b=9.9173 c=3.7260 alpha=67.93 beta=89.99 gamma=90.00
Last column: magnetic moment on the atom in μB.
Fractional coordinates of all 6 atoms:
Rh 0.7836 0.6462 0.6230  0.43
Rh 0.2835 0.6460 0.1233  0.37
Ba 0.2839 0.3506 0.9189  -0.01
Ba 0.7839 0.9416 0.8280  -0.01
F 0.2841 0.0376 0.2318  0.00
F 0.7841 0.2544 0.5150  0.00

---

Version x
DFT (PBE) results for a geometry-optimized BaRhF structure.

Unit cell a=8.2677 b=4.3280 c=8.5422 alpha=90.00 beta=90.00 gamma=90.00
Fractional coordinates of all 12 atoms:
Rh 0.4958 0.2500 0.4420
Rh 0.0042 0.7500 0.9420
Rh 0.5042 0.7500 0.5580
Rh 0.9958 0.2500 0.0580
Ba 0.8344 0.2500 0.6546
Ba 0.6656 0.7500 0.1546
Ba 0.1656 0.7500 0.3454
Ba 0.3344 0.2500 0.8454
F 0.9893 0.2500 0.3874
F 0.5107 0.7500 0.8874
F 0.0107 0.7500 0.6126
F 0.4893 0.2500 0.1126

---

Version y
DFT (PBE) results for a geometry-optimized BaRhF structure.

Unit cell a=4.5629 b=4.5629 c=4.5629 alpha=60.00 beta=60.00 gamma=60.00
Fractional coordinates of all 3 atoms:
Rh 0.5000 0.5000 0.5000
Ba 0.7500 0.7500 0.7500
F 0.2500 0.2500 0.2500

---

Taking the most stable structure as the zero point, the relative energies in meV/atom are version w 0; version x 219; version y 1122.

---

Version w
DFT (PBE) results for a geometry-optimized BaRhF structure.

Unit cell a=4.1142 b=9.1467 c=4.1152 alpha=81.64 beta=67.56 gamma=97.62
Fractional coordinates of all 6 atoms:
Rh 0.7419 0.6459 0.1723
Rh 0.1126 0.6459 0.5431
Ba 0.2882 0.3582 0.0071
Ba 0.5706 0.9335 0.7141
F 0.9955 0.0497 0.0227
F 0.6007 0.2433 0.4345

---

Version x
DFT (PBE) results for a geometry-optimized BaRhF structure.

Unit cell a=4.2352 b=9.2004 c=4.2352 alpha=76.90 beta=116.92 gamma=88.55
Last column: magnetic moment on the atom in μB.
Fractional coordinates of all 6 atoms:
Rh 0.0629 0.6506 0.3022  0.51
Rh 0.7122 0.6415 0.6619  0.51
Ba 0.4827 0.3612 0.1725  -0.01
Ba 0.2931 0.9310 0.7923  -0.01
F 0.5968 0.0462 0.3735  0.00
F 0.1792 0.2459 0.5914  0.00

---

Taking the most stable structure as the zero point, the relative energies in meV/atom are version w 28; version x 0.